Entry 1:
Computed, not measured: a relaxed structure of TmNiRh2 at the GGA-PBE level of DFT.

DOS(E_F), states/eV per cell: 9.03
M_tot, μB per formula unit: 0.0
E_tot, eV per atom: -6.81

Lattice parameters (Å, degrees): 8.740 8.740 8.740 34.93 34.93 34.93
Fractional coordinates of all 12 atoms:
Tm 0.000 0.000 0.000
Tm 0.141 0.141 0.141
Tm 0.859 0.859 0.859
Ni 0.333 0.333 0.333
Ni 0.500 0.500 0.500
Ni 0.667 0.667 0.667
Rh 0.081 0.583 0.583
Rh 0.417 0.417 0.919
Rh 0.417 0.919 0.417
Rh 0.583 0.081 0.583
Rh 0.583 0.583 0.081
Rh 0.919 0.417 0.417

***

Entry 2:
Computed, not measured: a relaxed structure of YTmNiRh at the GGA-PBE level of DFT.

DOS(E_F), states/eV per cell: 1.64
M_tot, μB per formula unit: 0.0
E_tot, eV per atom: -6.67

Lattice parameters (Å, degrees): 4.798 4.798 4.798 60.00 60.00 60.00
Fractional coordinates of all 4 atoms:
Y 0.000 0.000 0.000
Tm 0.500 0.500 0.500
Ni 0.750 0.750 0.750
Rh 0.250 0.250 0.250

***

Entry 3:
Computed, not measured: a relaxed structure of YTmNiRh at the GGA-PBE level of DFT.

DOS(E_F), states/eV per cell: 2.35
M_tot, μB per formula unit: 0.0
E_tot, eV per atom: -6.68

Lattice parameters (Å, degrees): 4.086 5.590 5.590 39.92 90.00 90.00
Fractional coordinates of all 4 atoms:
Y 0.000 0.000 0.000
Tm 0.500 0.717 0.717
Ni 0.500 0.434 0.434
Rh 0.000 0.278 0.278

***

Entry 4:
Computed, not measured: a relaxed structure of Tm2ZnNi2Rh5 at the GGA-PBE level of DFT.

DOS(E_F), states/eV per cell: 20.88
M_tot, μB per formula unit: 0.0
E_tot, eV per atom: -6.35

Lattice parameters (Å, degrees): 9.089 9.089 3.820 90.00 90.00 90.00
Fractional coordinates of all 20 atoms:
Tm 0.174 0.326 0.000
Tm 0.326 0.826 0.000
Tm 0.674 0.174 0.000
Tm 0.826 0.674 0.000
Zn 0.000 0.000 0.000
Zn 0.500 0.500 0.000
Ni 0.124 0.624 0.000
Ni 0.376 0.124 0.000
Ni 0.624 0.876 0.000
Ni 0.876 0.376 0.000
Rh 0.000 0.500 0.500
Rh 0.068 0.796 0.500
Rh 0.204 0.068 0.500
Rh 0.296 0.568 0.500
Rh 0.432 0.296 0.500
Rh 0.500 0.000 0.500
Rh 0.568 0.704 0.500
Rh 0.704 0.432 0.500
Rh 0.796 0.932 0.500
Rh 0.932 0.204 0.500

***

Entry 5:
Computed, not measured: a relaxed structure of TmZrNiRh at the GGA-PBE level of DFT.

DOS(E_F), states/eV per cell: 5.15
M_tot, μB per formula unit: 0.0
E_tot, eV per atom: -7.13

Lattice parameters (Å, degrees): 4.689 4.689 4.689 60.00 60.00 60.00
Fractional coordinates of all 4 atoms:
Tm 0.000 0.000 0.000
Zr 0.500 0.500 0.500
Ni 0.250 0.250 0.250
Rh 0.750 0.750 0.750

***

Entry 6:
Computed, not measured: a relaxed structure of UNiRh5 at the GGA-PBE level of DFT.

DOS(E_F), states/eV per cell: 14.69
M_tot, μB per formula unit: 0.0
E_tot, eV per atom: -7.76

Lattice parameters (Å, degrees): 7.115 7.115 7.147 120.04 120.04 49.22
Fractional coordinates of all 14 atoms:
U 0.011 0.989 0.750
U 0.989 0.011 0.250
Ni 0.000 0.500 0.500
Ni 0.500 0.000 0.000
Rh 0.134 0.601 0.924
Rh 0.135 0.601 0.312
Rh 0.399 0.865 0.188
Rh 0.399 0.866 0.576
Rh 0.423 0.577 0.750
Rh 0.577 0.423 0.250
Rh 0.601 0.134 0.424
Rh 0.601 0.135 0.812
Rh 0.865 0.399 0.688
Rh 0.866 0.399 0.076